No. 1
DFT (PBE) results for Sm4Dy5Er3 after structural relaxation.

The structure in POSCAR format:
```
Sm4Dy5Er3
1.0
8.0361 -2.9465 0.0000
8.0361 2.9465 0.0000
-4.1711 0.0000 8.3240
Sm Dy Er
4 5 3
Direct
0.0827 0.0827 0.4436 Sm
0.2155 0.2155 0.8803 Sm
0.7845 0.7845 0.1197 Sm
0.9173 0.9173 0.5564 Sm
0.0000 0.0000 0.0000 Dy
0.3280 0.3280 0.6149 Dy
0.4279 0.4279 0.2978 Dy
0.5721 0.5721 0.7022 Dy
0.6720 0.6720 0.3851 Dy
0.2109 0.2109 0.2338 Er
0.5000 0.5000 0.0000 Er
0.7891 0.7891 0.7662 Er
```

Values from the calculation:
The formation energy comes out at 0.23 eV per atom. The value obtained for the electronic total energy is -4.398 eV per atom. Its space group is No. 12.



No. 2
DFT (PBE) results for Sm3Dy2Er4 after structural relaxation.

The structure in POSCAR format:
```
Sm3Dy2Er4
1.0
8.2144 -5.7741 0.0000
8.2144 5.7741 0.0000
-0.7126 0.0000 6.0185
Sm Dy Er
6 4 8
Direct
0.1492 0.8508 0.7500 Sm
0.1840 0.4844 0.9160 Sm
0.4844 0.1840 0.4160 Sm
0.5156 0.8160 0.5840 Sm
0.8160 0.5156 0.0840 Sm
0.8508 0.1492 0.2500 Sm
0.0081 0.7814 0.2147 Dy
0.2186 0.9919 0.2853 Dy
0.7814 0.0081 0.7147 Dy
0.9919 0.2186 0.7853 Dy
0.1178 0.3422 0.3764 Er
0.3265 0.5503 0.4556 Er
0.3422 0.1178 0.8764 Er
0.4497 0.6735 0.0444 Er
0.5503 0.3265 0.9556 Er
0.6578 0.8822 0.1236 Er
0.6735 0.4497 0.5444 Er
0.8822 0.6578 0.6236 Er
```

Values from the calculation:
The formation energy comes out at 0.10 eV per atom. The value obtained for the electronic total energy is -4.521 eV per atom. Its space group is No. 15.



No. 3
DFT (PBE) results for Sm2Dy4Er after structural relaxation.

The structure in POSCAR format:
```
Sm2Dy4Er
1.0
1.8751 -6.8035 0.0000
1.8751 6.8035 0.0000
0.0000 0.0000 18.3857
Sm Dy Er
4 8 2
Direct
0.1308 0.8692 0.8473 Sm
0.3692 0.6308 0.3473 Sm
0.6308 0.3692 0.6527 Sm
0.8692 0.1308 0.1527 Sm
0.0833 0.9167 0.3221 Dy
0.1885 0.8115 0.0535 Dy
0.3115 0.6885 0.5535 Dy
0.4167 0.5833 0.8221 Dy
0.5833 0.4167 0.1779 Dy
0.6885 0.3115 0.4465 Dy
0.8115 0.1885 0.9465 Dy
0.9167 0.0833 0.6779 Dy
0.0000 0.0000 0.5000 Er
0.5000 0.5000 0.0000 Er
```

Values from the calculation:
The value obtained for the energy above the most stable polymorph in this dataset is 1.60 kcal/mol of atoms. The formation energy comes out at 0.21 eV per atom. The value obtained for the electronic total energy is -4.423 eV per atom. Its space group is No. 64.



No. 4
DFT (PBE) results for SmDy4Er6 after structural relaxation.

The structure in POSCAR format:
```
SmDy4Er6
1.0
2.8150 -4.8045 0.0000
2.8150 4.8045 0.0000
0.0000 0.0000 25.5387
Sm Dy Er
2 8 12
Direct
0.1759 0.8241 0.7500 Sm
0.8241 0.1759 0.2500 Sm
0.1623 0.8377 0.0419 Dy
0.1623 0.8377 0.4581 Dy
0.4855 0.5145 0.1213 Dy
0.4855 0.5145 0.3787 Dy
0.5145 0.4855 0.6213 Dy
0.5145 0.4855 0.8787 Dy
0.8377 0.1623 0.5419 Dy
0.8377 0.1623 0.9581 Dy
0.1551 0.8449 0.1811 Er
0.1551 0.8449 0.3189 Er
0.1783 0.8217 0.6029 Er
0.1783 0.8217 0.8971 Er
0.4902 0.5098 0.2500 Er
0.5000 0.5000 0.0000 Er
0.5000 0.5000 0.5000 Er
0.5098 0.4902 0.7500 Er
0.8217 0.1783 0.1029 Er
0.8217 0.1783 0.3971 Er
0.8449 0.1551 0.6811 Er
0.8449 0.1551 0.8189 Er
```

Values from the calculation:
The value obtained for the energy above the most stable polymorph in this dataset is 0.00 kcal/mol of atoms. The formation energy comes out at 0.12 eV per atom. The value obtained for the electronic total energy is -4.468 eV per atom. Its space group is No. 63.